# 1
# Al4RuSe

An optimized crystal structure of Al4RuSe (PBE, Alexandria).

Lattice parameters (Å, degrees): 7.3181 7.3181 7.3181 90.00 90.00 90.00
Space group F-43m (No. 216)
Unique sites:
Al 0.1244 0.1244 0.1244 (multiplicity 16)
Ru 0.2500 0.2500 0.7500 (multiplicity 4)
Se 0.0000 0.0000 0.5000 (multiplicity 4)

=====

# 2
# AlRuSe2

An optimized crystal structure of AlRuSe2 (PBE, Alexandria).

Lattice parameters (Å, degrees): 3.6816 3.6816 22.7104 90.00 90.00 120.00
Space group R-3m (No. 166, hexagonal axes)
Unique sites:
Al 0.0000 0.0000 0.0000 (multiplicity 3)
Ru 0.0000 0.0000 0.5000 (multiplicity 3)
Se 0.0000 0.0000 0.1096 (multiplicity 6)

=====

# 3
# AlRuSe2

An optimized crystal structure of AlRuSe2 (PBE, Alexandria).

Lattice parameters (Å, degrees): 2.9459 5.3566 9.3461 90.00 90.00 90.00
Space group Cmmm (No. 65)
Unique sites:
Al 0.0000 0.0000 0.0000 (multiplicity 2)
Ru 0.0000 0.0000 0.5000 (multiplicity 2)
Se 0.0000 0.5000 0.2821 (multiplicity 4)

=====

In the order shown, the computed uncorrected energy values come out to -104.9; -59.9; -37.3 eV per cell.